# 1
RbMn2CdIr after structural relaxation, computed with PBE.

Cell: 5.1326 5.8738 5.1326 Å, 90.00 90.00 90.00°
Closest atoms and distances in Å follow each position.
Element x y z (fractional)
1 Mn 0.0000 0.0000 0.5000  2 Cd 2.57
2 Mn 0.5000 0.0000 0.0000  2 Cd 2.57
3 Ir 0.5000 0.5000 0.5000  4 Rb 3.63, 8 Mn 3.90
4 Rb 0.0000 0.5000 0.0000  2 Cd 2.94
5 Cd 0.0000 0.0000 0.0000  4 Mn 2.57

Calculated values
The formation energy comes out at 173.0 kJ/mol of atoms.

# 2
Mn2CdSbIr after structural relaxation, computed with PBE.

Cell: 4.8638 4.9661 4.8638 Å, 90.00 90.00 90.00°
Closest atoms and distances in Å follow each position.
Element x y z (fractional)
1 Sb 0.5000 0.5000 0.5000  4 Ir 3.44, 8 Mn 3.48
2 Ir 0.0000 0.5000 0.0000  2 Cd 2.48
3 Mn 0.0000 0.0000 0.5000  2 Cd 2.43
4 Mn 0.5000 0.0000 0.0000  2 Cd 2.43
5 Cd 0.0000 0.0000 0.0000  4 Mn 2.43, 2 Ir 2.48

# 3
Mn2VCdIr after structural relaxation, computed with PBE.

Cell: 4.2066 4.9377 4.2066 Å, 90.00 90.00 90.00°
Closest atoms and distances in Å follow each position.
Element x y z (fractional)
1 V 0.0000 0.0000 0.0000  4 Mn 2.10
2 Ir 0.5000 0.5000 0.5000  4 Cd 2.97, 8 Mn 3.24
3 Mn 0.0000 0.0000 0.5000  2 V 2.10
4 Mn 0.5000 0.0000 0.0000  2 V 2.10
5 Cd 0.0000 0.5000 0.0000  2 V 2.47

Calculated values
The formation energy comes out at 119.6 kJ/mol of atoms.

# 4
CdMoIr2 after structural relaxation, computed with PBE.

Cell: 7.2800 7.2800 5.8447 Å, 51.48 51.48 90.00°
Closest atoms and distances in Å follow each position.
Element x y z (fractional)
1 Mo 0.5000 0.5000 0.0000  4 Ir 2.46
2 Mo 0.2500 0.7500 0.5000  4 Ir 2.46
3 Ir 0.5806 0.1250 0.2500  2 Mo 2.46
4 Ir 0.1694 0.6250 0.2500  2 Mo 2.46
5 Ir 0.3750 0.4194 0.7500  2 Mo 2.46
6 Ir 0.8750 0.8306 0.7500  2 Mo 2.46
7 Cd 0.0000 0.0000 0.0000  2 Mo 2.77, 4 Ir 2.90
8 Cd 0.7500 0.2500 0.5000  2 Mo 2.77, 4 Ir 2.90

Calculated values
The formation energy comes out at 51.4 kJ/mol of atoms.

# 5
CdMoIr2 after structural relaxation, computed with PBE.

Cell: 3.7937 2.8515 6.5993 Å, 64.23 90.00 90.00°
Closest atoms and distances in Å follow each position.
Element x y z (fractional)
1 Cd 0.5000 0.7500 0.7500  2 Cd 2.85, 8 Ir 2.87, 2 Mo 2.97
2 Ir 0.0000 0.9788 0.0209  3 Ir 2.72-2.85, 4 Mo 2.73-2.74, 4 Cd 2.87
3 Ir 0.0000 0.5212 0.4791  3 Ir 2.72-2.85, 4 Mo 2.73-2.74, 4 Cd 2.87
4 Mo 0.5000 0.2500 0.2500  8 Ir 2.73-2.74, 2 Mo 2.85, 2 Cd 2.97

Calculated values
The formation energy comes out at -0.3 kJ/mol of atoms.

# 6
CdMo2Ir after structural relaxation, computed with PBE.

Cell: 9.6991 9.6991 9.6991 Å, 16.71 16.71 16.71°
Closest atoms and distances in Å follow each position.
Element x y z (fractional)
1 Cd 0.2500 0.2500 0.2500  6 Cd 2.82, 6 Mo 3.04
2 Ir 0.7500 0.7500 0.7500  6 Mo 2.75, 6 Ir 2.82
3 Mo 0.0062 0.0062 0.0062  3 Ir 2.75, 6 Mo 2.82, 3 Cd 3.04
4 Mo 0.4938 0.4938 0.4938  3 Ir 2.75, 6 Mo 2.82, 3 Cd 3.04

Calculated values
The formation energy comes out at 17.5 kJ/mol of atoms.

Number 1: calculated total energy -4.024 eV per atom. Number 2: calculated total energy -5.176 eV per atom. Number 3: calculated total energy -6.207 eV per atom. Number 4: calculated total energy -6.834 eV per atom. Number 5: calculated total energy -7.370 eV per atom. Number 6: calculated total energy -7.678 eV per atom.